[1]
Material: MgSnSe3
Method: DFT, GGA-PBEsol
State: relaxed

## Properties
total energy = -17.986 eV/f.u.
formation energy without anion corrections = -0.092 eV per atom

Unit cell a=4.986 b=4.986 c=4.986 alpha=90.00 beta=90.00 gamma=90.00
Element x y z (fractional)
Mg: 0.000 0.000 0.000
Sn: 0.500 0.500 0.500
Se: 0.000 0.000 0.500
Se: 0.000 0.500 0.000
Se: 0.500 0.000 0.000


[2]
Material: MnCdIr2
Method: DFT, GGA-PBEsol
State: relaxed

## Properties
energy of formation from the pure elements = 0.162 eV per atom
total energy = -29.955 eV/f.u.

Unit cell a=2.760 b=2.760 c=7.885 alpha=90.00 beta=90.00 gamma=90.00
Element x y z (fractional)
Mn: 0.000 0.000 0.000
Cd: 0.500 0.500 0.273
Ir: 0.000 0.000 0.544
Ir: 0.500 0.500 0.775


[3]
Material: Zr2N2O
Method: DFT, GGA-PBEsol
State: relaxed

## Properties
total energy = -51.329 eV/f.u.
formation energy without anion corrections = -2.169 eV per atom

Unit cell a=5.517 b=5.517 c=10.256 alpha=106.31 beta=106.31 gamma=59.16
Element x y z (fractional)
Zr: 0.057 0.057 0.162
Zr: 0.205 0.197 0.588
Zr: 0.297 0.286 0.914
Zr: 0.452 0.427 0.338
Zr: 0.573 0.548 0.662
Zr: 0.714 0.703 0.086
Zr: 0.803 0.795 0.412
Zr: 0.943 0.943 0.838
N: 0.032 0.462 0.251
N: 0.289 0.003 0.003
N: 0.485 0.214 0.495
N: 0.538 0.968 0.749
N: 0.739 0.051 0.243
N: 0.786 0.515 0.505
N: 0.949 0.261 0.757
N: 0.997 0.711 0.997
O: 0.180 0.820 0.500
O: 0.240 0.564 0.741
O: 0.436 0.760 0.259
O: 0.689 0.311 0.000


[4]
Material: LaTlRe
Method: DFT, GGA-PBEsol
State: relaxed

## Properties
energy of formation from the pure elements = 1.034 eV per atom
total energy = -18.206 eV/f.u.

Unit cell a=6.799 b=6.799 c=6.799 alpha=90.00 beta=90.00 gamma=90.00
Element x y z (fractional)
La: 0.000 0.000 0.000
La: 0.000 0.500 0.500
La: 0.500 0.000 0.500
La: 0.500 0.500 0.000
Tl: 0.250 0.250 0.250
Tl: 0.250 0.750 0.750
Tl: 0.750 0.250 0.750
Tl: 0.750 0.750 0.250
Re: 0.000 0.000 0.500
Re: 0.000 0.500 0.000
Re: 0.500 0.000 0.000
Re: 0.500 0.500 0.500


[5]
Material: Zn2PtAu
Method: DFT, GGA-PBEsol
State: relaxed

## Properties
energy of formation from the pure elements = -0.303 eV per atom
total energy = -15.262 eV/f.u.

Unit cell a=2.794 b=3.959 c=5.383 alpha=90.00 beta=90.00 gamma=90.00
Element x y z (fractional)
Zn: 0.000 0.000 0.000
Zn: 0.500 0.500 0.292
Pt: 0.500 0.500 0.815
Au: 0.000 0.000 0.497


[6]
Material: InSiB3
Method: DFT, GGA-PBEsol
State: relaxed

## Properties
total energy = -22.722 eV/f.u.
formation energy without anion corrections = 1.411 eV per atom

Unit cell a=4.060 b=4.060 c=4.060 alpha=90.00 beta=90.00 gamma=90.00
Element x y z (fractional)
In: 0.000 0.000 0.000
Si: 0.500 0.500 0.500
B: 0.000 0.500 0.500
B: 0.500 0.000 0.500
B: 0.500 0.500 0.000


[7]
Material: YAsBr2
Method: DFT, GGA-PBEsol
State: relaxed

## Properties
total energy = -18.839 eV/f.u.
formation energy without anion corrections = -0.793 eV per atom

Unit cell a=9.618 b=9.618 c=5.757 alpha=90.00 beta=90.00 gamma=90.00
Element x y z (fractional)
Y: 0.000 0.000 0.000
Y: 0.000 0.500 0.250
Y: 0.500 0.000 0.750
Y: 0.500 0.500 0.500
As: 0.000 0.000 0.500
As: 0.000 0.500 0.750
As: 0.500 0.000 0.250
As: 0.500 0.500 0.000
Br: 0.128 0.250 0.125
Br: 0.250 0.628 0.375
Br: 0.250 0.872 0.875
Br: 0.372 0.250 0.625
Br: 0.628 0.750 0.625
Br: 0.750 0.128 0.875
Br: 0.750 0.372 0.375
Br: 0.872 0.750 0.125


[8]
Material: Sc2SnPdF
Method: DFT, GGA-PBEsol
State: relaxed

## Properties
total energy = -28.016 eV/f.u.
formation energy without anion corrections = -0.532 eV per atom

Unit cell a=5.115 b=5.115 c=4.006 alpha=90.00 beta=90.00 gamma=90.00
Element x y z (fractional)
Sc: 0.000 0.500 0.000
Sc: 0.500 0.000 0.000
Sn: 0.000 0.000 0.500
Pd: 0.500 0.500 0.000
F: 0.500 0.500 0.500


[9]
Material: La2CoHgN
Method: DFT, GGA-PBEsol
State: relaxed

## Properties
total energy = -31.201 eV/f.u.
formation energy without anion corrections = -0.736 eV per atom

Unit cell a=5.330 b=5.330 c=3.583 alpha=90.00 beta=90.00 gamma=90.00
Element x y z (fractional)
La: 0.000 0.500 0.000
La: 0.500 0.000 0.000
Co: 0.000 0.000 0.500
Hg: 0.500 0.500 0.500
N: 0.000 0.000 0.000


[10]
Material: Zr8In
Method: DFT, GGA-PBEsol
State: relaxed

## Properties
energy of formation from the pure elements = -0.101 eV per atom
total energy = -76.609 eV/f.u.

Unit cell a=7.133 b=7.133 c=7.133 alpha=95.09 beta=95.09 gamma=145.33
Element x y z (fractional)
Zr: 0.000 0.333 0.333
Zr: 0.000 0.667 0.667
Zr: 0.333 0.000 0.333
Zr: 0.334 0.334 0.668
Zr: 0.334 0.666 0.000
Zr: 0.666 0.334 0.000
Zr: 0.666 0.666 0.332
Zr: 0.667 0.000 0.667
In: 0.000 0.000 0.000


[11]
Material: Ca2ScMo
Method: DFT, GGA-PBEsol
State: relaxed

## Properties
energy of formation from the pure elements = 0.653 eV per atom
total energy = -20.027 eV/f.u.

Unit cell a=7.241 b=7.241 c=7.241 alpha=90.00 beta=90.00 gamma=90.00
Element x y z (fractional)
Ca: 0.000 0.000 0.000
Ca: 0.000 0.500 0.500
Ca: 0.250 0.250 0.250
Ca: 0.250 0.750 0.750
Ca: 0.500 0.000 0.500
Ca: 0.500 0.500 0.000
Ca: 0.750 0.250 0.750
Ca: 0.750 0.750 0.250
Sc: 0.000 0.000 0.500
Sc: 0.000 0.500 0.000
Sc: 0.500 0.000 0.000
Sc: 0.500 0.500 0.500
Mo: 0.250 0.250 0.750
Mo: 0.250 0.750 0.250
Mo: 0.750 0.250 0.250
Mo: 0.750 0.750 0.750


[12]
Material: AgMo2Pb
Method: DFT, GGA-PBEsol
State: relaxed

## Properties
energy of formation from the pure elements = 0.844 eV per atom
total energy = -27.469 eV/f.u.

Unit cell a=2.942 b=2.942 c=28.336 alpha=90.00 beta=90.00 gamma=120.00
Element x y z (fractional)
Ag: 0.000 0.000 0.000
Ag: 0.333 0.667 0.667
Ag: 0.667 0.333 0.333
Mo: 0.000 0.000 0.252
Mo: 0.000 0.000 0.748
Mo: 0.333 0.667 0.414
Mo: 0.333 0.667 0.919
Mo: 0.667 0.333 0.081
Mo: 0.667 0.333 0.586
Pb: 0.000 0.000 0.500
Pb: 0.333 0.667 0.167
Pb: 0.667 0.333 0.833


[13]
Material: Ca2ScAg2
Method: DFT, GGA-PBEsol
State: relaxed

## Properties
energy of formation from the pure elements = -0.177 eV per atom
total energy = -18.380 eV/f.u.

Unit cell a=7.512 b=7.512 c=4.437 alpha=90.00 beta=90.00 gamma=90.00
Element x y z (fractional)
Ca: 0.170 0.330 0.000
Ca: 0.330 0.830 0.000
Ca: 0.670 0.170 0.000
Ca: 0.830 0.670 0.000
Sc: 0.000 0.000 0.500
Sc: 0.500 0.500 0.500
Ag: 0.132 0.632 0.500
Ag: 0.368 0.132 0.500
Ag: 0.632 0.868 0.500
Ag: 0.868 0.368 0.500


[14]
Material: InAsCl2
Method: DFT, GGA-PBEsol
State: relaxed

## Properties
total energy = -12.801 eV/f.u.
formation energy without anion corrections = -0.174 eV per atom

Unit cell a=3.923 b=6.123 c=8.237 alpha=90.00 beta=90.00 gamma=90.00
Element x y z (fractional)
In: 0.000 0.000 0.000
In: 0.500 0.500 0.000
As: 0.000 0.500 0.763
As: 0.500 0.000 0.763
Cl: 0.000 0.000 0.573
Cl: 0.000 0.500 0.214
Cl: 0.500 0.000 0.214
Cl: 0.500 0.500 0.573


[15]
Material: CdIn2Cu
Method: DFT, GGA-PBEsol
State: relaxed

## Properties
energy of formation from the pure elements = 0.053 eV per atom
total energy = -11.283 eV/f.u.

Unit cell a=2.980 b=4.416 c=12.581 alpha=90.00 beta=90.00 gamma=90.00
Element x y z (fractional)
Cd: 0.000 0.000 0.000
Cd: 0.500 0.500 0.500
In: 0.000 0.000 0.622
In: 0.000 0.500 0.820
In: 0.500 0.000 0.320
In: 0.500 0.500 0.122
Cu: 0.000 0.500 0.311
Cu: 0.500 0.000 0.811


[16]
Material: Ni3Mo
Method: DFT, GGA-PBEsol
State: relaxed

## Properties
energy of formation from the pure elements = -0.123 eV per atom
total energy = -30.732 eV/f.u.

Unit cell a=4.177 b=4.954 c=4.407 alpha=90.00 beta=90.00 gamma=90.00
Element x y z (fractional)
Ni: 0.250 0.001 0.160
Ni: 0.250 0.250 0.666
Ni: 0.250 0.499 0.160
Ni: 0.750 0.501 0.840
Ni: 0.750 0.750 0.334
Ni: 0.750 0.999 0.840
Mo: 0.250 0.750 0.655
Mo: 0.750 0.250 0.345


[17]
Material: BaTaMn2
Method: DFT, GGA-PBEsol
State: relaxed

## Properties
energy of formation from the pure elements = 1.076 eV per atom
total energy = -29.919 eV/f.u.

Unit cell a=7.112 b=7.161 c=3.020 alpha=90.00 beta=90.00 gamma=90.00
Element x y z (fractional)
Ba: 0.000 0.000 0.000
Ba: 0.500 0.500 0.000
Ta: 0.000 0.500 0.000
Ta: 0.500 0.000 0.000
Mn: 0.250 0.250 0.500
Mn: 0.250 0.750 0.500
Mn: 0.750 0.250 0.500
Mn: 0.750 0.750 0.500


[18]
Material: KSn2Pd2
Method: DFT, GGA-PBEsol
State: relaxed

## Properties
energy of formation from the pure elements = -0.310 eV per atom
total energy = -23.119 eV/f.u.

Unit cell a=4.658 b=4.658 c=10.767 alpha=90.00 beta=90.00 gamma=90.00
Element x y z (fractional)
K: 0.000 0.000 0.000
K: 0.500 0.500 0.500
Sn: 0.000 0.500 0.250
Sn: 0.000 0.500 0.750
Sn: 0.500 0.000 0.250
Sn: 0.500 0.000 0.750
Pd: 0.000 0.000 0.374
Pd: 0.000 0.000 0.626
Pd: 0.500 0.500 0.126
Pd: 0.500 0.500 0.874


[19]
Material: Zr2AgRh
Method: DFT, GGA-PBEsol
State: relaxed

## Properties
energy of formation from the pure elements = -0.276 eV per atom
total energy = -30.735 eV/f.u.

Unit cell a=3.357 b=4.528 c=9.649 alpha=90.00 beta=90.00 gamma=90.00
Element x y z (fractional)
Zr: 0.000 0.000 0.000
Zr: 0.000 0.500 0.230
Zr: 0.500 0.000 0.730
Zr: 0.500 0.500 0.500
Ag: 0.000 0.000 0.458
Ag: 0.500 0.500 0.958
Rh: 0.000 0.500 0.720
Rh: 0.500 0.000 0.220


[20]
Material: Zn2CuRu
Method: DFT, GGA-PBEsol
State: relaxed

## Properties
energy of formation from the pure elements = -0.096 eV per atom
total energy = -18.056 eV/f.u.

Unit cell a=3.931 b=3.931 c=3.301 alpha=90.00 beta=90.00 gamma=90.00
Element x y z (fractional)
Zn: 0.000 0.500 0.000
Zn: 0.500 0.000 0.000
Cu: 0.000 0.000 0.500
Ru: 0.500 0.500 0.500